{"formula": "ErTmCd4", "functional": "PBE", "state": "optimized geometry", "energy_ev_per_cell": -14.028, "e_above_lowest_polymorph_mev_per_atom": 70, "magmom_total_mub_per_atom": 0.000, "cell": [[0.000, 4.153, 4.153], [4.153, 0.000, 4.153], [4.153, 4.153, 0.000]], "species": ["Er", "Tm", "Cd", "Cd", "Cd", "Cd"], "fractional_positions": [[0.000, 0.000, 0.000], [0.750, 0.750, 0.750], [0.375, 0.375, 0.375], [0.375, 0.375, 0.875], [0.375, 0.875, 0.375], [0.875, 0.375, 0.375]]}